Record 1
Density functional theory data (PBE) for LiBeFe2 after structural relaxation.

a = 5.492 Å, b = 5.492 Å, c = 5.492 Å
α = 90.00°, β = 90.00°, γ = 90.00°
Space group Pm-3m (No. 221)
Inequivalent atoms, fractional coordinates:
Li (0.000, 0.000, 0.000) (multiplicity 1)
Li (0.000, 0.000, 0.500) (multiplicity 3)
Be (0.000, 0.500, 0.500) (multiplicity 3)
Be (0.500, 0.500, 0.500) (multiplicity 1)
Fe (0.266, 0.266, 0.266) (multiplicity 8)

## Properties
Spin magnetization in μB/atom: 1.05
Raw total energy in eV/cell: -86.1

Record 2
Density functional theory data (PBE) for Na2ScTaSe4 after structural relaxation.

a = 3.6734 Å, b = 3.6734 Å, c = 14.8219 Å
α = 90.00°, β = 90.00°, γ = 120.00°
Space group P-6m2 (No. 187)
Inequivalent atoms, fractional coordinates:
Na (0.0000, 0.0000, 0.2498) (multiplicity 2)
Sc (0.0000, 0.0000, 0.0000) (multiplicity 1)
Ta (0.0000, 0.0000, 0.5000) (multiplicity 1)
Se (0.3333, 0.6667, 0.1134) (multiplicity 2)
Se (0.6667, 0.3333, 0.3914) (multiplicity 2)

## Properties
Spin magnetization in μB/atom: 0.00
Raw total energy in eV/cell: -44.1

Record 3
Density functional theory data (PBE) for YUAu2 after structural relaxation.

a = 3.7326 Å, b = 3.7326 Å, c = 16.8409 Å
α = 90.00°, β = 90.00°, γ = 120.00°
Space group P6_3/mmc (No. 194)
Inequivalent atoms, fractional coordinates:
Y (0.0000, 0.0000, 0.0000) (multiplicity 2)
U (0.3333, 0.6667, 0.2500) (multiplicity 2)
Au (0.3333, 0.6667, 0.6229) (multiplicity 4)

## Properties
Spin magnetization in μB/atom: 0.75
E_form in meV/atom: -183
Raw total energy in eV/cell: -50.1